The following is a GGA-PBE calculation of Li2Tb2In3 after structural relaxation, from the Alexandria database.

## Properties
Energy relative to the elements   -336 meV/atom
Magnetic moment   0.44 μB/cell

a b c (Å): 4.558 3.255 11.310
angles (deg): 90.00 78.37 90.00
Fractional coordinates of all 7 atoms:
In 0.000 0.000 0.000
In 0.162 0.000 0.677
In 0.838 0.000 0.323
Tb 0.421 0.500 0.157
Tb 0.579 0.500 0.843
Li 0.719 0.500 0.562
Li 0.281 0.500 0.438

The following is a GGA-PBE calculation of La6Pr16Dy7 after structural relaxation, from the Alexandria database.

## Properties
Energy relative to the elements   186 meV/atom
Magnetic moment   0.01 μB/cell

a b c (Å): 11.439 11.439 11.439
angles (deg): 60.00 60.00 60.00
Fractional coordinates of all 29 atoms:
Pr 0.123 0.123 0.631
Pr 0.631 0.123 0.123
Pr 0.877 0.877 0.877
Pr 0.654 0.654 0.654
Pr 0.877 0.369 0.877
Pr 0.369 0.877 0.877
Pr 0.346 0.963 0.346
Pr 0.346 0.346 0.963
Pr 0.963 0.346 0.346
Pr 0.346 0.346 0.346
Pr 0.123 0.123 0.123
Pr 0.877 0.877 0.369
Pr 0.654 0.654 0.037
Pr 0.654 0.037 0.654
Pr 0.037 0.654 0.654
Pr 0.123 0.631 0.123
La 0.290 0.290 0.710
La 0.710 0.710 0.290
La 0.290 0.710 0.710
La 0.710 0.290 0.290
La 0.290 0.710 0.290
La 0.710 0.290 0.710
Dy 0.000 0.000 0.000
Dy 0.500 0.000 0.000
Dy 0.000 0.500 0.500
Dy 0.500 0.500 0.000
Dy 0.000 0.000 0.500
Dy 0.500 0.000 0.500
Dy 0.000 0.500 0.000